Below is crystalline BaZn2Pt at its relaxed geometry, with properties calculated at the GGA-PBE level.

The structure in POSCAR format:
```
BaZn2Pt
1.0
-4.0431 0.3793 -1.8128
-0.1672 -4.2831 -0.5232
-2.2890 -4.7465 4.1121
Ba Pt Zn
1 1 2
Direct
0.5000 0.5000 0.5000
0.0000 0.0000 0.5000
0.0000 0.0000 0.0000
0.5000 0.5000 0.0000
```

## Properties
Spin magnetization: 0.0000 μB per atom
Calculated total energy: -10.7 eV per formula unit
SG: P2/m